No. 1
# EuSn2Ir

EuSn2Ir at its PBEsol-relaxed geometry (meta-GGA SCAN, Alexandria).

energy = -199.42 eV/f.u.
formation energy = -66.8 kJ/mol of atoms

```
16
Lattice="4.3409 0.0000 0.0000 0.0000 10.9668 0.0000 0.0000 0.0000 7.4807" Properties=species:S:1:pos:R:3 pbc="T T T"
Eu 0.0000 0.7399 1.8702
Eu 0.0000 10.2269 5.6105
Eu 2.1704 4.7435 5.6105
Eu 2.1704 6.2233 1.8702
Sn 0.0000 3.8938 0.3529
Sn 0.0000 3.8938 3.3875
Sn 0.0000 7.0730 4.0932
Sn 0.0000 7.0730 7.1278
Sn 2.1704 1.5896 4.0932
Sn 2.1704 1.5896 7.1278
Sn 2.1704 9.3772 0.3529
Sn 2.1704 9.3772 3.3875
Ir 0.0000 2.3191 5.6105
Ir 0.0000 8.6478 1.8702
Ir 2.1704 3.1644 1.8702
Ir 2.1704 7.8025 5.6105
```



No. 2
# Eu2ZnIr

Eu2ZnIr at its PBEsol-relaxed geometry (meta-GGA SCAN, Alexandria).

energy = -193.45 eV/f.u.
formation energy = -34.1 kJ/mol of atoms

```
16
Lattice="7.0213 0.0000 0.0000 0.0000 7.0213 0.0000 0.0000 0.0000 7.0213" Properties=species:S:1:pos:R:3 pbc="T T T"
Eu 1.7553 1.7553 1.7553
Eu 1.7553 1.7553 5.2660
Eu 1.7553 5.2660 1.7553
Eu 1.7553 5.2660 5.2660
Eu 5.2660 1.7553 1.7553
Eu 5.2660 1.7553 5.2660
Eu 5.2660 5.2660 1.7553
Eu 5.2660 5.2660 5.2660
Zn 0.0000 0.0000 0.0000
Zn 0.0000 3.5106 3.5106
Zn 3.5106 0.0000 3.5106
Zn 3.5106 3.5106 0.0000
Ir 0.0000 0.0000 3.5106
Ir 0.0000 3.5106 0.0000
Ir 3.5106 0.0000 0.0000
Ir 3.5106 3.5106 3.5106
```



No. 3
# KEuMo2O8

KEuMo2O8 at its PBEsol-relaxed geometry (meta-GGA SCAN, Alexandria).

energy = -211.26 eV/f.u.

```
24
Lattice="5.2794 0.0000 0.0000 2.6300 6.3609 0.0000 2.3538 1.6994 10.2525" Properties=species:S:1:pos:R:3 pbc="T T T"
K 1.2636 1.3404 0.5839
K 8.9996 6.7200 9.6686
Eu 3.7726 5.3338 5.7699
Eu 6.4906 2.7265 4.4826
Mo 3.9103 3.9695 2.2287
Mo 3.8122 1.6164 6.8968
Mo 6.4510 6.4439 3.3557
Mo 6.3529 4.0908 8.0238
O 2.9529 4.2096 3.7941
O 3.0311 1.9863 8.3885
O 2.4740 1.0557 5.8136
O 2.8821 3.3899 0.9768
O 2.7033 1.4221 3.1110
O 5.0400 5.2698 7.7356
O 4.6753 5.4208 1.6398
O 4.6362 3.0047 6.0334
O 5.6270 5.0557 4.2191
O 5.5879 2.6396 8.6127
O 5.2232 2.7905 2.5169
O 7.5600 6.6382 7.1415
O 7.3811 4.6705 9.2757
O 7.7892 7.0047 4.4389
O 7.2321 6.0741 1.8640
O 7.3104 3.8508 6.4584
```



No. 4
# K2Eu2O3

K2Eu2O3 at its PBEsol-relaxed geometry (meta-GGA SCAN, Alexandria).

energy = -158.35 eV/f.u.

```
14
Lattice="6.8483 0.0000 0.0000 0.0000 6.8944 0.0000 -3.4890 0.0000 6.2210" Properties=species:S:1:pos:R:3 pbc="T T T"
K -0.5731 1.0100 2.5228
K -2.3176 2.4372 5.6333
K 5.6768 4.4572 0.5877
K 3.9323 5.8845 3.6982
Eu 0.2972 4.2666 3.7062
Eu 2.0417 6.0751 0.5957
Eu 1.3175 0.8194 5.6253
Eu 3.0620 2.6278 2.5148
O 0.0000 0.0000 0.0000
O -1.7445 3.4472 3.1105
O 1.4585 4.1094 1.6732
O -0.2860 6.2323 4.7837
O 3.6452 0.6622 1.4373
O 1.9007 2.7851 4.5478
```



No. 5
# KEuP4O12

KEuP4O12 at its PBEsol-relaxed geometry (meta-GGA SCAN, Alexandria).

energy = -225.19 eV/f.u.

```
72
Lattice="10.4579 0.0000 0.0000 0.0000 9.0514 0.0000 -7.4596 0.0000 10.4077" Properties=species:S:1:pos:R:3 pbc="T T T"
K -0.8754 0.6282 4.7527
K -4.6052 3.8975 9.9565
K 7.6035 5.1540 0.4512
K 3.8737 8.4232 5.6550
Eu -3.1792 6.5834 7.1461
Eu 0.5506 6.9937 1.9423
Eu 2.4477 2.0577 8.4654
Eu 6.1775 2.4680 3.2616
P -4.4734 0.8673 7.9104
P -0.7436 3.6584 2.7066
P 0.8413 1.5341 1.4796
P -2.8885 2.9917 6.6834
P -0.4200 5.4577 5.0100
P -4.1498 8.1194 10.2138
P 3.3021 0.2117 2.4203
P -0.4277 4.3141 7.6241
P 3.4260 4.7374 2.7835
P -0.3038 8.8398 7.9874
P 7.1481 0.9320 0.1938
P 3.4183 3.5937 5.3977
P 5.8868 6.0598 3.7243
P 2.1570 7.5174 8.9281
P 3.7419 5.3930 7.7011
P 7.4717 8.1841 2.4972
O -5.4475 6.1638 7.8785
O -1.7177 7.4133 2.6747
O -0.5235 4.8522 1.8275
O -4.2533 8.7250 7.0314
O 0.7181 2.1455 0.1213
O -3.0117 2.3803 5.3252
O 0.1172 0.2800 1.8633
O -3.6126 4.2457 7.0671
O -1.7835 5.9379 5.3911
O 1.9463 7.6392 0.1873
O -3.2277 1.8868 7.8127
O 0.5020 2.6389 2.6089
O -4.2878 0.4826 9.4503
O -0.5580 4.0431 4.2465
O 0.4880 6.3803 4.2582
O -3.2418 7.1969 9.4620
O 2.4228 1.3968 1.7639
O -1.3070 3.1289 6.9678
O 2.3707 5.3480 1.9168
O -1.3591 8.2291 7.1206
O -1.3322 5.3296 8.2621
O 2.3975 8.2476 3.0583
O 0.3284 4.9308 6.3339
O 4.0582 8.6464 1.1301
O -1.0599 0.4051 9.2776
O 2.6699 4.1206 4.0738
O 0.6008 0.8039 7.3494
O 4.3306 3.7218 2.1456
O 4.3574 0.8223 3.2871
O 0.6277 3.7034 8.4909
O 4.3053 5.9225 3.4399
O 0.5755 7.6546 8.6437
O 6.2401 1.8546 0.9457
O 2.5103 2.6712 6.1495
O 3.5564 5.0083 6.1612
O 7.2861 8.5688 0.9573
O 2.4963 6.4125 7.7988
O 6.2261 7.1646 2.5950
O 1.0521 1.4122 10.2204
O 4.7818 3.1135 5.0166
O 6.6109 4.8057 3.3406
O 2.8811 8.7714 8.5444
O 6.0100 6.6712 5.0825
O 2.2802 6.9060 10.2863
O 7.2516 0.3264 3.3763
O 3.5218 4.1993 8.5801
O 4.7160 1.6381 7.7330
O 8.4458 2.8876 2.5291
```



No. 6
# K2EuTa5O15

K2EuTa5O15 at its PBEsol-relaxed geometry (meta-GGA SCAN, Alexandria).

energy = -566.64 eV/f.u.

```
46
Lattice="12.5738 0.0000 0.0000 0.0000 12.5738 0.0000 0.0000 0.0000 3.9132" Properties=species:S:1:pos:R:3 pbc="T T T"
K 2.1234 4.1635 0.0000
K 4.1635 10.4504 0.0000
K 8.4103 2.1234 0.0000
K 10.4504 8.4103 0.0000
Eu 0.0000 0.0000 0.0000
Eu 6.2869 6.2869 0.0000
Ta 0.0000 6.2869 1.9566
Ta 0.9677 9.9012 1.9566
Ta 2.6726 0.9677 1.9566
Ta 3.6143 7.2546 1.9566
Ta 5.3192 3.6143 1.9566
Ta 6.2869 0.0000 1.9566
Ta 7.2546 8.9595 1.9566
Ta 8.9595 5.3192 1.9566
Ta 9.9012 11.6061 1.9566
Ta 11.6061 2.6726 1.9566
O 0.0000 6.2869 0.0000
O 0.0198 4.3050 1.9566
O 0.7641 1.6670 1.9566
O 0.9784 10.1659 0.0000
O 1.6670 11.8097 1.9566
O 1.9819 6.2671 1.9566
O 2.4079 0.9784 0.0000
O 2.7275 9.0144 1.9566
O 3.5594 2.7275 1.9566
O 3.8790 7.2653 0.0000
O 4.3050 12.5540 1.9566
O 4.6198 5.5228 1.9566
O 5.3085 3.8790 0.0000
O 5.5228 7.9539 1.9566
O 6.2671 10.5919 1.9566
O 6.2869 0.0000 0.0000
O 6.3067 1.9819 1.9566
O 7.0510 4.6198 1.9566
O 7.2653 8.6948 0.0000
O 7.9539 7.0510 1.9566
O 8.2688 0.0198 1.9566
O 8.6948 5.3085 0.0000
O 9.0144 9.8463 1.9566
O 9.8463 3.5594 1.9566
O 10.1659 11.5954 0.0000
O 10.5919 6.3067 1.9566
O 10.9067 0.7641 1.9566
O 11.5954 2.4079 0.0000
O 11.8097 10.9067 1.9566
O 12.5540 8.2688 1.9566
```



No. 7
# K4EuP2S8

K4EuP2S8 at its PBEsol-relaxed geometry (meta-GGA SCAN, Alexandria).

energy = -203.78 eV/f.u.

```
30
Lattice="-4.3436 8.9835 4.8125 4.3436 -8.9835 4.8125 4.3436 8.9835 -4.8125" Properties=species:S:1:pos:R:3 pbc="T T T"
K 4.3436 4.6762 -2.4062
K 5.3866 1.4964 0.0000
K 1.0431 7.4872 0.0000
K 0.0000 4.3073 2.4062
K 4.3436 4.6762 2.4062
K 3.3005 1.4964 4.8125
K -1.0431 7.4872 4.8125
K 0.0000 4.3073 7.2187
Eu 0.0000 0.0000 2.4062
Eu 0.0000 0.0000 7.2187
P 1.7684 2.2853 0.0000
P 1.7684 -2.2853 4.8125
P 2.5752 11.2688 0.0000
P 2.5752 6.6983 4.8125
S 6.1292 -1.3849 1.6559
S 4.0904 -7.1112 4.8125
S 2.1620 4.2843 0.0000
S 2.5580 1.3849 1.6559
S 2.5580 -1.3849 3.1566
S 2.1620 -4.2843 4.8125
S 4.0904 7.1112 0.0000
S 1.7856 10.3684 -1.6559
S 2.5580 -1.3849 6.4684
S 0.2532 1.8723 4.8125
S 2.1815 13.2678 0.0000
S 1.7856 10.3684 1.6559
S 1.7856 7.5987 3.1566
S 2.1815 4.6993 4.8125
S 0.2532 16.0948 0.0000
S -1.7856 10.3684 3.1566
```



No. 8
# K4EuP2Se8

K4EuP2Se8 at its PBEsol-relaxed geometry (meta-GGA SCAN, Alexandria).

energy = -284.61 eV/f.u.

```
30
Lattice="-4.5248 9.3591 5.0658 4.5248 -9.3591 5.0658 4.5248 9.3591 -5.0658" Properties=species:S:1:pos:R:3 pbc="T T T"
K 4.5248 4.9468 -2.5329
K 5.5235 1.5950 0.0000
K 0.9988 7.7642 0.0000
K 0.0000 4.4123 2.5329
K 4.5248 4.9468 2.5329
K 3.5260 1.5950 5.0658
K -0.9988 7.7642 5.0658
K 0.0000 4.4123 7.5987
Eu 0.0000 0.0000 2.5329
Eu 0.0000 0.0000 7.5987
P 1.8424 2.3999 0.0000
P 1.8424 -2.3999 5.0658
P 2.6824 11.7590 0.0000
P 2.6824 6.9592 5.0658
Se 6.3792 -1.3840 1.7903
Se 4.1804 -7.4269 5.0658
Se 2.3368 4.5566 0.0000
Se 2.6703 -1.3840 3.2754
Se 2.6703 1.3840 1.7903
Se 2.3368 -4.5566 5.0658
Se 1.8544 10.7431 -1.7903
Se 4.1804 7.4269 0.0000
Se 0.3444 1.9322 5.0658
Se 2.6703 -1.3840 6.8561
Se 2.1880 13.9158 0.0000
Se 1.8544 7.9751 3.2754
Se 1.8544 10.7431 1.7903
Se 2.1880 4.8025 5.0658
Se 0.3444 16.7860 0.0000
Se -1.8544 10.7431 3.2754
```



No. 9
# LaEuPd6

LaEuPd6 at its PBEsol-relaxed geometry (meta-GGA SCAN, Alexandria).

energy = -298.98 eV/f.u.
formation energy = -66.6 kJ/mol of atoms

```
8
Lattice="4.1264 0.0000 0.0000 0.0000 4.1264 0.0000 0.0000 0.0000 8.2389" Properties=species:S:1:pos:R:3 pbc="T T T"
La 0.0000 0.0000 0.0000
Eu 0.0000 0.0000 4.1195
Pd 0.0000 2.0632 2.0717
Pd 0.0000 2.0632 6.1672
Pd 2.0632 0.0000 2.0717
Pd 2.0632 0.0000 6.1672
Pd 2.0632 2.0632 0.0000
Pd 2.0632 2.0632 4.1195
```



No. 10
# La2EuS4

La2EuS4 at its PBEsol-relaxed geometry (meta-GGA SCAN, Alexandria).

energy = -195.87 eV/f.u.

```
14
Lattice="-4.3000 4.3000 4.2814 4.3000 -4.3000 4.2814 4.3000 4.3000 -4.2814" Properties=species:S:1:pos:R:3 pbc="T T T"
La 6.4500 1.1040 -1.0704
La 1.1040 2.1500 1.0704
La -2.1500 3.1960 3.2111
La 3.1960 2.1500 5.3518
Eu 4.3000 0.0000 2.1407
Eu 0.0000 0.0000 4.2814
S 1.4972 -0.6530 1.7118
S 3.6470 1.4972 -0.4289
S 2.8028 4.9530 -2.5697
S 2.8028 -0.6530 4.7104
S 1.4972 4.9530 0.4289
S 3.6470 2.8028 2.5697
S 0.6530 2.8028 3.8525
S 0.6530 1.4972 6.8511
```



No. 11
# LaEuZn2

LaEuZn2 at its PBEsol-relaxed geometry (meta-GGA SCAN, Alexandria).

energy = -125.21 eV/f.u.
formation energy = -32.9 kJ/mol of atoms

```
16
Lattice="7.3450 0.0000 0.0000 0.0000 7.3450 0.0000 0.0000 0.0000 7.3450" Properties=species:S:1:pos:R:3 pbc="T T T"
La 0.0000 0.0000 0.0000
La 0.0000 3.6725 3.6725
La 3.6725 0.0000 3.6725
La 3.6725 3.6725 0.0000
Eu 0.0000 0.0000 3.6725
Eu 0.0000 3.6725 0.0000
Eu 3.6725 0.0000 0.0000
Eu 3.6725 3.6725 3.6725
Zn 1.8363 1.8363 1.8363
Zn 1.8363 1.8363 5.5088
Zn 1.8363 5.5088 1.8363
Zn 1.8363 5.5088 5.5088
Zn 5.5088 1.8363 1.8363
Zn 5.5088 1.8363 5.5088
Zn 5.5088 5.5088 1.8363
Zn 5.5088 5.5088 5.5088
```



No. 12
# Li2EuSiO4

Li2EuSiO4 at its PBEsol-relaxed geometry (meta-GGA SCAN, Alexandria).

energy = -116.56 eV/f.u.

```
24
Lattice="4.9820 0.0000 0.0000 -2.4910 4.3145 0.0000 0.0000 0.0000 12.3598" Properties=species:S:1:pos:R:3 pbc="T T T"
Li -0.6458 1.7480 5.2004
Li -0.6543 3.9998 1.0805
Li 1.8367 0.3147 7.1593
Li 1.3001 2.8813 9.3204
Li 1.8452 2.5665 3.0394
Li 3.7911 1.4332 11.2792
Eu -1.0483 1.8158 8.2398
Eu 2.0967 0.0000 4.1199
Eu 1.4426 2.4987 0.0000
Si -0.6952 1.2041 2.0600
Si 1.3903 0.0000 10.2998
Si 1.7958 3.1104 6.1799
O -1.0476 2.1136 0.7311
O -1.5402 3.2727 6.1325
O 0.4268 1.3442 10.2524
O 0.9507 1.0418 2.1074
O -0.1367 4.1650 8.9709
O 2.3542 0.1495 11.6287
O 1.1844 2.3505 4.8510
O 1.4434 2.2009 7.5087
O 1.1134 4.0120 2.0125
O 3.6044 0.3025 6.2273
O 2.9178 2.9703 10.3472
O 3.6753 1.9641 3.3888
```